Co2CuHg2 | PBE | optimized geometry

The space group is P4/mbm (No. 127) and the conventional cell measures 6.236, 6.236 and 4.077 Å, with angles of 90.00, 90.00 and 90.00 degrees. The distinct sites, in fractional coordinates, are Co at (0.126, 0.374, 0.000), Cu at (0.000, 0.000, 0.000) and Hg at (0.178, 0.678, 0.500).

For the total moment, the calculation gives 3.8 μB/cell. For the volume, the calculation gives 158.5 Å³/cell. Its calculated formation energy is 204 kJ/mol of formula units.